(1)
# SiHg2I

SiHg2I after structural relaxation (GGA-PBE, Alexandria).

Geometry as extended XYZ:
```
4
Lattice="-4.147 -2.591 2.250 -4.963 2.053 -0.345 -3.689 -2.386 -3.109" Properties=species:S:1:pos:R:3 pbc="T T T"
Hg -3.200 -0.731 -0.301
I -6.400 -1.462 -0.602
Hg -9.600 -2.193 -0.903
Si 0.000 0.000 0.000
```

## Properties
Total moment in μB/cell: 0.8
Relative energy among the computed polymorphs in meV per atom: 486
Total energy in Ry/atom: -0.092
Symmetry: Fm-3m, No. 225

***

(2)
# SiHgI2

SiHgI2 after structural relaxation (GGA-PBE, Alexandria).

Geometry as extended XYZ:
```
4
Lattice="3.378 -2.356 3.690 1.510 2.779 4.536 -1.941 -1.522 4.949" Properties=species:S:1:pos:R:3 pbc="T T T"
I 2.209 -0.824 9.881
I 0.736 -0.275 3.294
Si 0.000 0.000 0.000
Hg 1.473 -0.550 6.587
```

## Properties
Total moment in μB/cell: 0.0
Relative energy among the computed polymorphs in meV per atom: 343
Total energy in Ry/atom: -0.131
Symmetry: Fm-3m, No. 225

***

(3)
# SiHgI

SiHgI after structural relaxation (GGA-PBE, Alexandria).

Geometry as extended XYZ:
```
6
Lattice="-0.933 -0.491 3.898 1.928 -4.907 -0.157 6.122 5.117 3.878" Properties=species:S:1:pos:R:3 pbc="T T T"
Si 6.221 2.298 4.584
I 0.782 0.202 3.282
I 6.336 -0.484 4.337
Si 0.898 -2.579 3.035
Hg 4.231 1.588 2.333
Hg 2.887 -1.869 5.285
```

## Properties
Total moment in μB/cell: 0.0
Total energy in Ry/atom: -0.165
Symmetry: C2/m, No. 12

***

(4)
# SiHg2I

SiHg2I after structural relaxation (GGA-PBE, Alexandria).

Geometry as extended XYZ:
```
8
Lattice="-1.243 -6.461 -0.743 -0.128 -0.732 6.580 -6.902 -2.402 2.930" Properties=species:S:1:pos:R:3 pbc="T T T"
Si -0.686 -3.597 2.918
I -4.415 -6.230 2.553
Hg -6.365 -8.032 6.733
Hg -2.069 -2.427 4.687
Hg -2.411 -4.169 1.155
Si -3.858 -3.366 6.214
I 0.000 0.000 0.000
Hg -5.702 -4.563 4.958
```

## Properties
Total moment in μB/cell: 0.0
Relative energy among the computed polymorphs in meV per atom: 0
Total energy in Ry/atom: -0.128
Symmetry: I-42d, No. 122

***

(5)
# SiHgI4

SiHgI4 after structural relaxation (GGA-PBE, Alexandria).

Geometry as extended XYZ:
```
12
Lattice="7.274 0.260 0.000 3.105 6.583 0.000 0.000 0.000 14.897" Properties=species:S:1:pos:R:3 pbc="T T T"
I 2.641 2.422 9.169
I 2.641 2.422 13.177
I 7.112 5.371 5.728
Hg 3.245 6.372 0.000
I 5.836 1.054 11.173
I 5.021 4.981 11.173
I 3.823 4.191 3.724
Si 4.036 2.725 11.173
Hg 3.244 6.372 7.449
I 7.111 1.895 3.724
I 7.112 5.371 1.721
Si 6.284 4.207 3.724
```

## Properties
Total moment in μB/cell: 0.0
Total energy in Ry/atom: -0.166
Symmetry: Ama2, No. 40

***

(6)
# SiHgI2

SiHgI2 after structural relaxation (GGA-PBE, Alexandria).

Geometry as extended XYZ:
```
8
Lattice="-5.682 -5.003 4.663 5.980 -6.576 0.232 2.515 -3.447 7.844" Properties=species:S:1:pos:R:3 pbc="T T T"
I 2.232 -6.851 3.857
I -0.751 -3.557 3.736
I 0.649 -11.069 10.108
Hg 0.000 0.000 0.000
Hg -1.509 -7.120 7.477
Si 4.322 -7.907 5.262
Si 0.149 -5.790 2.447
I 3.497 -8.576 7.777
```

## Properties
Total moment in μB/cell: 0.0
Relative energy among the computed polymorphs in meV per atom: 0
Total energy in Ry/atom: -0.156
Symmetry: I-42d, No. 122

***

(7)
# Si2SnHgI

Si2SnHgI after structural relaxation (GGA-PBE, Alexandria).

Geometry as extended XYZ:
```
5
Lattice="-0.435 -4.810 1.253 0.498 -1.630 -6.086 4.955 -0.320 0.491" Properties=species:S:1:pos:R:3 pbc="T T T"
I 2.509 -3.380 -2.171
Si 2.477 -0.160 0.245
Sn 0.249 -0.815 -3.043
Hg 0.000 0.000 0.000
Si -0.217 -2.405 0.627
```

## Properties
Total moment in μB/cell: 0.0
Total energy in Ry/atom: -0.178
Symmetry: P4/mmm, No. 123

***

(8)
# TaSiHg2I

TaSiHg2I after structural relaxation (GGA-PBE, Alexandria).

Geometry as extended XYZ:
```
5
Lattice="-3.281 -0.660 4.685 -2.688 -3.688 -2.402 3.658 -3.970 2.002" Properties=species:S:1:pos:R:3 pbc="T T T"
Si -1.156 -4.159 2.142
I 0.000 0.000 0.000
Ta -1.344 -1.844 -1.201
Hg 1.829 -1.985 1.001
Hg -1.640 -0.330 2.342
```

## Properties
Total moment in μB/cell: 1.2
Total energy in Ry/atom: -0.151
Symmetry: P4/mmm, No. 123

***

(9)
# SiHgTeI2

SiHgTeI2 after structural relaxation (GGA-PBE, Alexandria).

Geometry as extended XYZ:
```
5
Lattice="5.773 0.000 0.000 0.000 5.773 0.000 0.000 0.000 5.768" Properties=species:S:1:pos:R:3 pbc="T T T"
Hg 0.000 0.000 0.000
I 0.000 2.886 0.000
I 2.886 0.000 0.000
Si 2.886 2.886 2.884
Te 0.000 0.000 2.884
```

## Properties
Total moment in μB/cell: 0.3
Relative energy among the computed polymorphs in meV per atom: 554
Total energy in Ry/atom: -0.120
Symmetry: P4/mmm, No. 123

***

(10)
# SiHgTeI2

SiHgTeI2 after structural relaxation (GGA-PBE, Alexandria).

Geometry as extended XYZ:
```
5
Lattice="5.585 0.000 0.000 0.000 5.585 0.000 0.000 0.000 5.419" Properties=species:S:1:pos:R:3 pbc="T T T"
I 0.000 2.792 0.000
Te 0.000 0.000 2.710
Hg 2.792 2.792 2.710
Si 0.000 0.000 0.000
I 2.792 0.000 0.000
```

## Properties
Total moment in μB/cell: 0.0
Relative energy among the computed polymorphs in meV per atom: 0
Total energy in Ry/atom: -0.160
Symmetry: P4/mmm, No. 123

***

(11)
# Sm2HgI2

Sm2HgI2 after structural relaxation (GGA-PBE, Alexandria).

Geometry as extended XYZ:
```
5
Lattice="4.108 0.000 0.957 1.942 3.619 0.957 -0.705 -0.422 12.318" Properties=species:S:1:pos:R:3 pbc="T T T"
Sm 3.595 2.150 3.159
Sm 1.750 1.047 11.074
I 1.113 0.666 4.515
I 4.231 2.531 9.718
Hg 0.000 0.000 0.000
```

## Properties
Total moment in μB/cell: 0.0
Total energy in Ry/atom: -0.259
Symmetry: R-3m, No. 166

***

(12)
# SmHgI

SmHgI after structural relaxation (GGA-PBE, Alexandria).

Geometry as extended XYZ:
```
6
Lattice="-2.867 -3.367 0.496 3.560 -2.341 4.681 -5.159 -0.412 7.299" Properties=species:S:1:pos:R:3 pbc="T T T"
I 0.017 -1.259 1.527
Hg -1.909 -2.024 5.160
Hg -2.556 -4.097 7.316
Sm -4.909 -2.338 5.665
Sm 0.443 -3.783 6.811
I -4.482 -4.862 10.949
```

## Properties
Total moment in μB/cell: 0.0
Relative energy among the computed polymorphs in meV per atom: 130
Total energy in Ry/atom: -0.211
Symmetry: P2_1/m, No. 11

***

(13)
# Sm2HgI

Sm2HgI after structural relaxation (GGA-PBE, Alexandria).

Geometry as extended XYZ:
```
4
Lattice="3.705 0.000 0.000 0.000 3.705 0.000 0.000 0.000 8.412" Properties=species:S:1:pos:R:3 pbc="T T T"
Sm 0.000 0.000 1.945
I 1.853 1.853 4.206
Hg 1.853 1.853 0.000
Sm 0.000 0.000 6.467
```

## Properties
Total moment in μB/cell: 0.5
Relative energy among the computed polymorphs in meV per atom: 62
Total energy in Ry/atom: -0.248
Symmetry: P4/mmm, No. 123

***

(14)
# Sm4HgI5

Sm4HgI5 after structural relaxation (GGA-PBE, Alexandria).

Geometry as extended XYZ:
```
10
Lattice="4.274 0.000 0.000 0.000 9.188 0.200 -2.137 -2.218 9.433" Properties=species:S:1:pos:R:3 pbc="T T T"
I 0.000 6.783 3.401
Hg 2.137 0.000 0.000
Sm 0.000 6.985 6.663
I 2.137 4.643 6.393
I 0.000 2.326 3.240
Sm 2.137 -0.016 2.970
Sm 0.000 2.089 0.069
I 2.137 0.187 6.233
I 2.137 4.594 0.100
Sm 2.137 4.880 9.565
```

## Properties
Total moment in μB/cell: 0.0
Total energy in Ry/atom: -0.275
Symmetry: C2/m, No. 12

***

Formation energy (no corrections): 641; 422; 182; 154; -272; 80; 916; 1836; 765; 211; -950; -676; -558; -1049 (meV/atom)